Computed, not measured: a relaxed CaIn2Ge2 crystal at the PBE-GGA level of DFT. Values from VASP.

The structure in Quantum ESPRESSO input format:
```
&SYSTEM
  ibrav = 0, nat = 10, ntyp = 3
/
ATOMIC_SPECIES
Ge 72.64 Ge.upf
Ca 40.08 Ca.upf
In 114.82 In.upf
ATOMIC_POSITIONS crystal
Ge 0.377 0.877 0.000
Ge 0.877 0.623 0.000
Ge 0.623 0.123 0.000
Ge 0.123 0.377 0.000
Ca 0.000 0.000 0.000
Ca 0.500 0.500 0.000
In 0.168 0.668 0.500
In 0.668 0.832 0.500
In 0.832 0.332 0.500
In 0.332 0.168 0.500
CELL_PARAMETERS angstrom
7.742 0.000 0.000
0.000 7.742 0.000
0.000 0.000 4.097
```

Calculated values
- E: -3.47 eV/atom
- V: 246 Å³ per cell
- Crystal system: tetragonal
- DFT formation energy: -132 meV/atom